(1)
Compound: YPPt2
Source: the Alexandria database
Functional: GGA-PBE
Structure: optimized geometry

extended XYZ file:
```
4
Lattice="4.403 -2.906 0.423 2.593 0.401 4.596 -5.006 -0.882 -1.472" Properties=species:S:1:pos:R:3 pbc="T T T"
Pt 1.447 -2.520 0.730
Y 3.498 -1.252 2.510
P 0.000 0.000 0.000
Pt 0.542 -0.867 2.817
```

Computed properties:
Calculated total energy, eV per atom: -6.737
Total magnetic moment, μB per cell: 0.0
Density of states at the Fermi level, states/eV/cell: 2.01
Formation energy, meV/atom: -748


(2)
Compound: Y2ZnPPt6
Source: the Alexandria database
Functional: GGA-PBE
Structure: optimized geometry

extended XYZ file:
```
20
Lattice="5.556 0.000 0.000 0.000 8.061 0.000 0.000 0.000 8.629" Properties=species:S:1:pos:R:3 pbc="T T T"
Pt 4.193 3.673 4.314
Pt 4.141 4.388 0.000
Pt 0.000 7.123 6.496
Pt 4.176 7.935 4.314
Y 2.778 5.888 6.307
P 0.000 6.187 0.000
Y 0.000 2.173 1.993
Pt 1.363 3.673 4.314
Pt 4.159 0.126 0.000
Zn 0.000 5.752 4.314
Pt 0.000 7.123 2.133
Zn 2.778 2.309 0.000
Pt 2.778 0.938 6.447
Pt 2.778 0.938 2.182
Pt 1.415 4.388 0.000
Pt 1.398 0.126 0.000
Y 2.778 5.888 2.322
P 2.778 1.874 4.314
Y 0.000 2.173 6.636
Pt 1.381 7.935 4.314
```

Computed properties:
Calculated total energy, eV per atom: -6.443
Total magnetic moment, μB per cell: 0.0
Density of states at the Fermi level, states/eV/cell: 6.26
Formation energy, meV/atom: -858


(3)
Compound: ZnP2Pt
Source: the Alexandria database
Functional: GGA-PBE
Structure: optimized geometry

extended XYZ file:
```
4
Lattice="3.619 -0.106 0.081 1.920 3.070 0.081 1.762 0.943 5.900" Properties=species:S:1:pos:R:3 pbc="T T T"
P 3.670 1.964 3.199
P 1.742 0.932 5.732
Zn 1.825 0.977 1.516
Pt 5.476 2.931 4.547
```

Computed properties:
Calculated total energy, eV per atom: -4.665
Total magnetic moment, μB per cell: 0.0
Density of states at the Fermi level, states/eV/cell: 1.49
Formation energy, meV/atom: -131


(4)
Compound: Zn2PPt
Source: the Alexandria database
Functional: GGA-PBE
Structure: optimized geometry

extended XYZ file:
```
4
Lattice="2.862 0.000 0.000 0.000 2.862 0.000 0.000 0.000 7.533" Properties=species:S:1:pos:R:3 pbc="T T T"
P 0.000 0.000 3.963
Zn 1.431 1.431 1.837
Pt 1.431 1.431 5.552
Zn 0.000 0.000 7.481
```

Computed properties:
Calculated total energy, eV per atom: -3.520
Total magnetic moment, μB per cell: 0.0
Density of states at the Fermi level, states/eV/cell: 1.64
Formation energy, meV/atom: -20


(5)
Compound: Zn3PPt
Source: the Alexandria database
Functional: GGA-PBE
Structure: optimized geometry

extended XYZ file:
```
5
Lattice="4.775 0.000 0.000 0.000 4.775 0.000 0.000 0.000 4.775" Properties=species:S:1:pos:R:3 pbc="T T T"
Zn 0.000 0.000 2.388
Pt 0.000 0.000 0.000
Zn 0.000 2.388 0.000
P 2.388 2.388 2.388
Zn 2.388 0.000 0.000
```

Computed properties:
Calculated total energy, eV per atom: -2.654
Total magnetic moment, μB per cell: 0.0
Distance to the lowest polymorph of the same formula, eV per atom: 0.000
Density of states at the Fermi level, states/eV/cell: 3.27
Formation energy, meV/atom: 400


(6)
Compound: Zn2PPt
Source: the Alexandria database
Functional: GGA-PBE
Structure: optimized geometry

extended XYZ file:
```
4
Lattice="3.796 0.000 0.000 0.000 3.962 0.000 0.000 0.000 3.948" Properties=species:S:1:pos:R:3 pbc="T T T"
Pt 1.898 0.000 1.974
P 1.898 1.981 0.000
Zn 0.000 1.981 1.974
Zn 0.000 0.000 0.000
```

Computed properties:
Calculated total energy, eV per atom: -3.598
Total magnetic moment, μB per cell: 0.0
Density of states at the Fermi level, states/eV/cell: 1.24
Formation energy, meV/atom: -98


(7)
Compound: ZnP6Pt
Source: the Alexandria database
Functional: GGA-PBE
Structure: optimized geometry

extended XYZ file:
```
8
Lattice="0.296 3.230 -5.025 -4.758 1.555 -3.274 -2.035 5.601 -0.513" Properties=species:S:1:pos:R:3 pbc="T T T"
P -4.089 8.970 -6.238
P -6.250 7.724 -6.114
P -1.883 3.177 -0.883
Zn -3.248 5.193 -4.406
P -0.247 2.661 -2.697
P -4.613 7.208 -7.929
P -2.407 1.415 -2.573
Pt 0.000 0.000 0.000
```

Computed properties:
Calculated total energy, eV per atom: -4.894
Total magnetic moment, μB per cell: 0.0
Density of states at the Fermi level, states/eV/cell: 3.22
Formation energy, meV/atom: 78


(8)
Compound: Zn2P2Pt
Source: the Alexandria database
Functional: GGA-PBE
Structure: optimized geometry

extended XYZ file:
```
10
Lattice="6.647 0.000 0.000 0.000 6.647 0.000 0.000 0.000 3.677" Properties=species:S:1:pos:R:3 pbc="T T T"
P 1.182 2.141 0.000
Zn 0.922 4.246 1.839
P 5.465 4.506 0.000
Pt 3.324 3.324 0.000
P 4.506 1.182 0.000
Zn 2.401 0.922 1.839
Zn 5.725 2.401 1.839
P 2.141 5.465 0.000
Pt 0.000 0.000 0.000
Zn 4.246 5.725 1.839
```

Computed properties:
Calculated total energy, eV per atom: -3.816
Total magnetic moment, μB per cell: 0.0
Density of states at the Fermi level, states/eV/cell: 4.51
Formation energy, meV/atom: 66


(9)
Compound: Zn2PPt
Source: the Alexandria database
Functional: GGA-PBE
Structure: optimized geometry

extended XYZ file:
```
4
Lattice="-1.919 1.919 4.040 1.919 -1.919 4.040 1.919 1.919 -4.040" Properties=species:S:1:pos:R:3 pbc="T T T"
Pt 0.000 1.919 2.020
P 0.000 0.000 4.040
Zn 0.000 0.000 0.000
Zn 1.919 0.000 2.020
```

Computed properties:
Calculated total energy, eV per atom: -3.565
Total magnetic moment, μB per cell: 0.0
Density of states at the Fermi level, states/eV/cell: 1.89
Formation energy, meV/atom: -66


(10)
Compound: ZnPPt2
Source: the Alexandria database
Functional: GGA-PBE
Structure: optimized geometry

extended XYZ file:
```
4
Lattice="-3.321 -1.980 -1.970 -1.732 -3.960 -0.388 -3.465 0.114 3.623" Properties=species:S:1:pos:R:3 pbc="T T T"
Pt -3.870 -1.365 2.180
Pt -4.647 -4.461 -0.915
P -2.526 -2.970 -1.179
Zn -1.732 0.057 1.811
```

Computed properties:
Calculated total energy, eV per atom: -4.904
Total magnetic moment, μB per cell: 0.0
Distance to the lowest polymorph of the same formula, eV per atom: 0.168
Density of states at the Fermi level, states/eV/cell: 1.85
Formation energy, meV/atom: -213


(11)
Compound: ZnPPt2
Source: the Alexandria database
Functional: GGA-PBE
Structure: optimized geometry

extended XYZ file:
```
4
Lattice="3.443 -2.656 -0.477 1.193 -2.645 3.274 -0.601 -4.319 -0.348" Properties=species:S:1:pos:R:3 pbc="T T T"
Pt 1.009 -2.405 0.612
P 0.000 0.000 0.000
Pt 3.026 -7.215 1.837
Zn 2.017 -4.810 1.224
```

Computed properties:
Calculated total energy, eV per atom: -4.838
Total magnetic moment, μB per cell: 0.0
Distance to the lowest polymorph of the same formula, eV per atom: 0.234
Density of states at the Fermi level, states/eV/cell: 1.17
Formation energy, meV/atom: -147


(12)
Compound: Zn2PPt
Source: the Alexandria database
Functional: GGA-PBE
Structure: optimized geometry

extended XYZ file:
```
4
Lattice="-1.354 2.380 1.996 -3.082 -0.757 -1.188 -0.590 -3.479 3.748" Properties=species:S:1:pos:R:3 pbc="T T T"
Zn -0.146 -0.859 0.926
Zn -0.444 -2.620 2.823
Pt -2.513 -0.928 2.278
P -2.218 0.812 0.404
```

Computed properties:
Calculated total energy, eV per atom: -3.636
Total magnetic moment, μB per cell: 0.0
Density of states at the Fermi level, states/eV/cell: 1.73
Formation energy, meV/atom: -136